Material: Na2H5Os
Method: DFT, PBE
State: relaxed

Properties
* VASP energy: -124.6 eV per cell
* DOS at the Fermi energy: 8.24 states/eV per cell

```
Na2H5Os
1.0
6.563 0.000 0.000
0.000 5.046 0.000
0.000 0.000 10.199
Na H Os
8 20 4
Cartesian
0.119 1.262 2.219
1.027 3.785 4.351
2.254 1.262 9.450
3.163 3.785 7.318
3.400 1.262 2.880
4.309 3.785 0.749
5.536 1.262 5.848
6.445 3.785 7.980
0.000 0.000 0.000
0.000 2.523 0.000
0.430 3.785 2.173
1.101 1.262 4.405
1.226 0.092 6.345
1.226 2.431 6.345
2.055 2.615 1.246
2.055 4.954 1.246
2.180 3.785 9.505
2.852 1.262 7.273
3.282 0.000 5.099
3.282 2.523 5.099
3.711 3.785 2.926
4.383 1.262 0.694
4.508 0.092 8.953
4.508 2.431 8.953
5.337 2.615 3.854
5.337 4.954 3.854
5.462 3.785 5.793
6.134 1.262 8.026
1.042 3.785 0.605
2.240 1.262 5.705
4.323 3.785 4.494
5.522 1.262 9.593
```

***

Material: Na3H7Os
Method: DFT, PBE
State: relaxed

Properties
* relative energy among the computed polymorphs: 0.0 meV per atom
* VASP energy: -167.4 eV per cell
* DOS at the Fermi energy: 0.00 states/eV per cell

```
Na3H7Os
1.0
9.487 0.000 0.000
0.000 9.487 0.000
0.000 0.000 5.233
Na H Os
12 28 4
Cartesian
0.309 2.866 0.000
1.109 8.378 2.617
1.877 5.052 2.617
2.866 0.309 0.000
3.634 3.634 0.000
4.434 7.610 2.617
5.052 1.877 2.617
5.852 5.852 0.000
6.620 9.178 0.000
7.610 4.434 2.617
8.378 1.109 2.617
9.178 6.620 0.000
0.633 3.086 2.617
0.970 0.970 1.573
0.970 0.970 3.660
1.644 7.842 0.000
1.658 5.377 0.000
2.290 2.290 1.045
2.290 2.290 4.188
2.453 7.034 1.572
2.453 7.034 3.662
3.086 0.633 2.617
3.099 3.099 2.617
3.773 5.713 1.043
3.773 5.713 4.190
4.110 7.829 0.000
5.377 1.658 0.000
5.713 3.773 1.043
5.713 3.773 4.190
6.388 6.388 2.617
6.401 8.853 2.617
7.034 2.453 1.572
7.034 2.453 3.662
7.196 7.196 1.045
7.196 7.196 4.188
7.829 4.110 0.000
7.842 1.644 0.000
8.517 8.517 1.573
8.517 8.517 3.660
8.853 6.401 2.617
1.910 1.910 2.617
2.833 6.653 0.000
6.653 2.833 0.000
7.577 7.577 2.617
```

***

Material: NaH2Os
Method: DFT, PBE
State: relaxed

Properties
* relative energy among the computed polymorphs: 875.0 meV per atom
* VASP energy: -56.6 eV per cell
* DOS at the Fermi energy: 9.39 states/eV per cell

```
NaH2Os
1.0
5.367 0.000 0.000
0.000 5.367 0.000
0.000 0.000 5.367
Na H Os
4 8 4
Cartesian
0.000 0.000 0.000
0.000 2.683 2.683
2.683 0.000 2.683
2.683 2.683 0.000
1.342 1.342 1.342
1.342 1.342 4.025
1.342 4.025 1.342
1.342 4.025 4.025
4.025 1.342 1.342
4.025 1.342 4.025
4.025 4.025 1.342
4.025 4.025 4.025
0.000 0.000 2.683
0.000 2.683 0.000
2.683 0.000 0.000
2.683 2.683 2.683
```

***

Material: NaHOs2
Method: DFT, PBE
State: relaxed

Properties
* relative energy among the computed polymorphs: 1106.0 meV per atom
* VASP energy: -75.3 eV per cell
* DOS at the Fermi energy: 20.35 states/eV per cell

```
NaHOs2
1.0
5.898 0.000 0.000
0.000 5.898 0.000
0.000 0.000 5.898
Na H Os
4 4 8
Cartesian
0.000 0.000 0.000
0.000 2.949 2.949
2.949 0.000 2.949
2.949 2.949 0.000
0.000 0.000 2.949
0.000 2.949 0.000
2.949 0.000 0.000
2.949 2.949 2.949
1.474 1.474 1.474
1.474 1.474 4.423
1.474 4.423 1.474
1.474 4.423 4.423
4.423 1.474 1.474
4.423 1.474 4.423
4.423 4.423 1.474
4.423 4.423 4.423
```

***

Material: NaHOs2
Method: DFT, PBE
State: relaxed

Properties
* relative energy among the computed polymorphs: 0.0 meV per atom
* VASP energy: -93.0 eV per cell
* DOS at the Fermi energy: 18.81 states/eV per cell

```
NaHOs2
1.0
5.459 0.000 0.000
0.000 5.459 0.000
0.000 0.000 8.026
Na H Os
4 4 8
Cartesian
0.000 1.365 3.010
0.000 4.094 5.016
2.730 1.365 1.003
2.730 4.094 7.023
0.000 1.365 7.023
0.000 4.094 1.003
2.730 1.365 5.016
2.730 4.094 3.010
0.000 0.000 0.000
0.000 2.730 0.000
1.365 1.365 6.020
1.365 4.094 2.007
2.730 0.000 4.013
2.730 2.730 4.013
4.094 1.365 6.020
4.094 4.094 2.007
```

***

Material: Na3H6Os
Method: DFT, PBE
State: relaxed

Properties
* VASP energy: -36.6 eV per cell
* DOS at the Fermi energy: 7.48 states/eV per cell

```
Na3H6Os
1.0
4.638 -2.680 0.000
4.638 2.680 0.000
-3.112 0.000 4.426
Na H Os
3 6 1
Cartesian
0.000 0.000 0.000
-0.014 0.000 3.290
6.177 0.000 1.137
2.139 1.207 2.984
1.970 0.000 0.906
4.024 1.207 1.443
2.139 -1.207 2.984
4.193 0.000 3.521
4.024 -1.207 1.443
3.082 0.000 2.213
```

***

Please write out number 3 again, unchanged.
Material: NaH2Os
Method: DFT, PBE
State: relaxed

Properties
* relative energy among the computed polymorphs: 875.0 meV per atom
* VASP energy: -56.6 eV per cell
* DOS at the Fermi energy: 9.39 states/eV per cell

```
NaH2Os
1.0
5.367 0.000 0.000
0.000 5.367 0.000
0.000 0.000 5.367
Na H Os
4 8 4
Cartesian
0.000 0.000 0.000
0.000 2.683 2.683
2.683 0.000 2.683
2.683 2.683 0.000
1.342 1.342 1.342
1.342 1.342 4.025
1.342 4.025 1.342
1.342 4.025 4.025
4.025 1.342 1.342
4.025 1.342 4.025
4.025 4.025 1.342
4.025 4.025 4.025
0.000 0.000 2.683
0.000 2.683 0.000
2.683 0.000 0.000
2.683 2.683 2.683
```